(1)
# LuZnCoPt

A relaxed LuZnCoPt crystal (GGA-PBE, the Open Quantum Materials Database).

DFT formation energy (eV per atom): -0.5195
Energy above the lowest structure with this stoichiometry (meV/atom): 0
Final energy (eV/cell): -84.1

Unit cell a=6.3401 b=6.3401 c=6.3401 alpha=90.00 beta=90.00 gamma=90.00
Closest atoms and distances in Å follow each position.
Space group F-43m (No. 216)
Unique sites:
Lu 0.0000 0.0000 0.0000 x4  4 Co 2.75, 4 Pt 2.75
Zn 0.0000 0.0000 0.5000 x4  4 Co 2.75, 4 Pt 2.75
Co 0.2500 0.2500 0.7500 x4  4 Zn 2.75, 4 Lu 2.75
Pt 0.2500 0.2500 0.2500 x4  4 Zn 2.75, 4 Lu 2.75



(2)
# RbLuCo

A relaxed RbLuCo crystal (GGA-PBE, the Open Quantum Materials Database).

Energy above the lowest structure with this stoichiometry (meV/atom): 0
Final energy (eV/cell): -37.9

Unit cell a=6.9476 b=6.9476 c=6.9476 alpha=90.00 beta=90.00 gamma=90.00
Closest atoms and distances in Å follow each position.
Space group F-43m (No. 216)
Unique sites:
Rb 0.0000 0.0000 0.0000 x4  4 Co 3.01
Lu 0.0000 0.0000 0.5000 x4  4 Co 3.01
Co 0.2500 0.2500 0.7500 x4  4 Rb 3.01, 4 Lu 3.01



(3)
# RbLuCo

A relaxed RbLuCo crystal (GGA-PBE, the Open Quantum Materials Database).

Energy above the lowest structure with this stoichiometry (meV/atom): 791
Final energy (eV/cell): -28.4

Unit cell a=7.0577 b=7.0577 c=7.0577 alpha=90.00 beta=90.00 gamma=90.00
Closest atoms and distances in Å follow each position.
Space group F-43m (No. 216)
Unique sites:
Rb 0.0000 0.0000 0.0000 x4  4 Co 3.06, 4 Lu 3.06
Lu 0.2500 0.2500 0.2500 x4  4 Rb 3.06
Co 0.2500 0.2500 0.7500 x4  4 Rb 3.06



(4)
# RbLuCoSe3

A relaxed RbLuCoSe3 crystal (GGA-PBE, the Open Quantum Materials Database).

Final energy (eV/cell): -60.1

Unit cell a=9.3897 b=3.9742 c=9.6940 alpha=90.00 beta=111.05 gamma=90.00
Closest atoms and distances in Å follow each position.
Space group P2_1/m (No. 11)
Unique sites:
Rb 0.2036 0.2500 0.2357 x2  7 Se 3.43-3.59
Lu 0.3325 0.7500 0.8583 x2  6 Se 2.78-2.91
Co 0.0745 0.2500 0.5911 x2  4 Se 2.33-2.40
Se 0.1205 0.2500 0.8515 x2  1 Co 2.40
Se 0.1879 0.7500 0.5378 x2  3 Co 2.33-2.40
Se 0.4674 0.7500 0.1644 x2  3 Lu 2.78-2.80



(5)
# LuCoReSn

A relaxed LuCoReSn crystal (GGA-PBE, the Open Quantum Materials Database).

Energy above the lowest structure with this stoichiometry (meV/atom): 320
Final energy (eV/cell): -105.1

Unit cell a=6.5686 b=6.5686 c=6.5686 alpha=90.00 beta=90.00 gamma=90.00
Closest atoms and distances in Å follow each position.
Space group F-43m (No. 216)
Unique sites:
Lu 0.0000 0.0000 0.0000 x4  4 Sn 2.84, 4 Re 2.84
Co 0.0000 0.0000 0.5000 x4  4 Sn 2.84, 4 Re 2.84
Re 0.2500 0.2500 0.7500 x4  4 Co 2.84, 4 Lu 2.84
Sn 0.2500 0.2500 0.2500 x4  4 Co 2.84, 4 Lu 2.84



(6)
# LuCoReSn

A relaxed LuCoReSn crystal (GGA-PBE, the Open Quantum Materials Database).

Energy above the lowest structure with this stoichiometry (meV/atom): 0
Final energy (eV/cell): -110.2

Unit cell a=6.5026 b=6.5026 c=6.5026 alpha=90.00 beta=90.00 gamma=90.00
Closest atoms and distances in Å follow each position.
Space group F-43m (No. 216)
Unique sites:
Lu 0.0000 0.0000 0.0000 x4  4 Co 2.82, 4 Re 2.82
Co 0.2500 0.2500 0.7500 x4  4 Sn 2.82, 4 Lu 2.82
Re 0.2500 0.2500 0.2500 x4  4 Lu 2.82, 4 Sn 2.82
Sn 0.0000 0.0000 0.5000 x4  4 Re 2.82, 4 Co 2.82



(7)
# LuZnCoRe

A relaxed LuZnCoRe crystal (GGA-PBE, the Open Quantum Materials Database).

DFT formation energy (eV per atom): 0.3900
Energy above the lowest structure with this stoichiometry (meV/atom): 73
Final energy (eV/cell): -95.0

Unit cell a=6.3135 b=6.3135 c=6.3135 alpha=90.00 beta=90.00 gamma=90.00
Closest atoms and distances in Å follow each position.
Space group F-43m (No. 216)
Unique sites:
Lu 0.0000 0.0000 0.0000 x4  4 Re 2.73, 4 Co 2.73
Zn 0.0000 0.0000 0.5000 x4  4 Co 2.73, 4 Re 2.73
Co 0.2500 0.2500 0.7500 x4  4 Zn 2.73, 4 Lu 2.73
Re 0.2500 0.2500 0.2500 x4  4 Zn 2.73, 4 Lu 2.73



(8)
# LuZnCoRe

A relaxed LuZnCoRe crystal (GGA-PBE, the Open Quantum Materials Database).

DFT formation energy (eV per atom): 0.3167
Energy above the lowest structure with this stoichiometry (meV/atom): 0
Final energy (eV/cell): -96.2

Unit cell a=6.3678 b=6.3678 c=6.3678 alpha=90.00 beta=90.00 gamma=90.00
Closest atoms and distances in Å follow each position.
Space group F-43m (No. 216)
Unique sites:
Lu 0.0000 0.0000 0.0000 x4  4 Re 2.76, 4 Zn 2.76
Zn 0.2500 0.2500 0.2500 x4  4 Co 2.76, 4 Lu 2.76
Co 0.0000 0.0000 0.5000 x4  4 Re 2.76, 4 Zn 2.76
Re 0.2500 0.2500 0.7500 x4  4 Co 2.76, 4 Lu 2.76



(9)
# Lu7Co2S2

A relaxed Lu7Co2S2 crystal (GGA-PBE, the Open Quantum Materials Database).

Final energy (eV/cell): -126.3

Unit cell a=3.6762 b=14.3962 c=8.8876 alpha=90.00 beta=90.00 gamma=90.00
Closest atoms and distances in Å follow each position.
Space group Imm2 (No. 44)
Unique sites:
Lu 0.0000 0.0000 0.0000 x2  3 S 2.91-3.06
Lu 0.0000 0.1227 0.5893 x4  2 Co 2.72, 3 S 2.80-2.90
Lu 0.0000 0.3161 0.3793 x4  3 Co 2.66-2.91, 1 S 2.90
Lu 0.0000 0.3622 0.7451 x4  2 Co 2.78, 2 S 2.84
Co 0.0000 0.2380 0.0767 x4  7 Lu 2.66-2.91
S 0.0000 0.0000 0.3444 x2  7 Lu 2.80-3.06
S 0.0000 0.5000 0.2459 x2  8 Lu 2.90-2.91



(10)
# Lu2CoSb

A relaxed Lu2CoSb crystal (GGA-PBE, the Open Quantum Materials Database).

Final energy (eV/cell): -80.6

Unit cell a=6.9441 b=6.9441 c=6.9441 alpha=90.00 beta=90.00 gamma=90.00
Closest atoms and distances in Å follow each position.
Space group F-43m (No. 216)
Unique sites:
Lu 0.0000 0.0000 0.0000 x4  4 Lu 3.01, 4 Co 3.01
Lu 0.2500 0.2500 0.2500 x4  4 Sb 3.01, 4 Lu 3.01
Co 0.2500 0.2500 0.7500 x4  4 Sb 3.01, 4 Lu 3.01
Sb 0.0000 0.0000 0.5000 x4  4 Co 3.01, 4 Lu 3.01



(11)
# LuCoSb2

A relaxed LuCoSb2 crystal (GGA-PBE, the Open Quantum Materials Database).

Final energy (eV/cell): -77.9

Unit cell a=7.0320 b=7.0320 c=7.0320 alpha=90.00 beta=90.00 gamma=90.00
Closest atoms and distances in Å follow each position.
Space group F-43m (No. 216)
Unique sites:
Lu 0.0000 0.0000 0.0000 x4  4 Co 3.04, 4 Sb 3.04
Co 0.2500 0.2500 0.2500 x4  4 Sb 3.04, 4 Lu 3.04
Sb 0.0000 0.0000 0.5000 x4  4 Co 3.04, 4 Sb 3.04
Sb 0.2500 0.2500 0.7500 x4  4 Sb 3.04, 4 Lu 3.04



(12)
# LuCoTcSb

A relaxed LuCoTcSb crystal (GGA-PBE, the Open Quantum Materials Database).

Energy above the lowest structure with this stoichiometry (meV/atom): 0
Final energy (eV/cell): -107.7

Unit cell a=6.4411 b=6.4411 c=6.4411 alpha=90.00 beta=90.00 gamma=90.00
Closest atoms and distances in Å follow each position.
Space group F-43m (No. 216)
Unique sites:
Lu 0.0000 0.0000 0.0000 x4  4 Tc 2.79, 4 Co 2.79
Co 0.2500 0.2500 0.7500 x4  4 Sb 2.79, 4 Lu 2.79
Tc 0.2500 0.2500 0.2500 x4  4 Sb 2.79, 4 Lu 2.79
Sb 0.0000 0.0000 0.5000 x4  4 Co 2.79, 4 Tc 2.79